# Mg2PtN2, relaxed, DFT PBE
# Space group ... P4/mbm, No. 127
# Raw formation energy ... 0.522 eV per atom
data_Mg2PtN2
_cell_length_a 6.583
_cell_length_b 6.583
_cell_length_c 2.752
_cell_angle_alpha 90.00
_cell_angle_beta 90.00
_cell_angle_gamma 90.00
_symmetry_space_group_name_H-M 'P 1'
_symmetry_Int_Tables_number 1
loop_
_symmetry_equiv_pos_as_xyz
'x,y,z'
loop_
_atom_site_label
_atom_site_fract_x
_atom_site_fract_y
_atom_site_fract_z
Mg1 0.143 0.357 0.000
Mg2 0.357 0.857 0.000
Mg3 0.643 0.143 0.000
Mg4 0.857 0.643 0.000
Pt1 0.000 0.000 0.000
Pt2 0.500 0.500 0.000
N1 0.170 0.670 0.500
N2 0.330 0.170 0.500
N3 0.670 0.830 0.500
N4 0.830 0.330 0.500